TbMg16Al12 | PBEsol | relaxed Values from VASP.

```
&SYSTEM
  ibrav = 0, nat = 29, ntyp = 3
/
ATOMIC_SPECIES
Tb 158.93 Tb.upf
Mg 24.30 Mg.upf
Al 26.98 Al.upf
ATOMIC_POSITIONS angstrom
Tb 0.0000 0.0000 0.0000
Mg 4.5673 1.3651 2.3644
Mg 1.0816 1.5296 2.6494
Mg 5.8233 0.0000 0.0000
Mg -1.0737 2.5768 4.4631
Mg -3.2581 0.4863 5.0397
Mg 1.5446 5.8194 0.0000
Mg 2.7873 -0.1534 4.4631
Mg -1.9411 5.4903 0.0000
Mg -0.2354 -0.3329 5.3054
Mg 4.9717 -1.6980 2.9410
Mg -0.2354 4.7611 2.3644
Mg 4.9717 3.3960 0.0000
Mg -1.9411 -2.7451 4.7547
Mg 1.5446 -2.9097 5.0397
Mg 2.7873 3.9419 2.0987
Mg -3.2581 4.1214 2.9410
Al -3.2759 3.4770 6.0223
Al 3.6039 2.7033 4.6822
Al -1.6754 0.0241 2.7220
Al 1.3473 1.9054 6.0640
Al 2.7696 -0.7978 1.3819
Al 4.3701 6.1802 1.3401
Al 0.5812 -1.5715 2.7220
Al 0.5812 3.1431 0.0000
Al 4.3701 -1.9295 6.0223
Al 2.7696 1.5956 0.0000
Al 1.3473 4.2989 4.6822
Al -1.6754 2.3452 1.3819
CELL_PARAMETERS angstrom
9.0682 0.0000 0.0000
-3.0227 8.5496 0.0000
-3.0227 -4.2748 7.4041
```

Calculated values
E_form = -0.07 eV/atom
space group = I-43m (217)
DOS(E_F) = 0.385 states/eV/atom
crystal system = cubic


ZrZnPO2 | PBEsol | relaxed Values from VASP.

```
&SYSTEM
  ibrav = 0, nat = 5, ntyp = 4
/
ATOMIC_SPECIES
P 30.97 P.upf
Zn 65.41 Zn.upf
O 16.00 O.upf
Zr 91.22 Zr.upf
ATOMIC_POSITIONS angstrom
P 1.4577 2.3715 0.1200
Zn -0.3169 3.3653 2.0388
O -0.0921 -0.0433 1.9746
O -1.6825 1.0370 -0.0557
Zr 0.0000 0.0000 0.0000
CELL_PARAMETERS angstrom
-3.3650 2.0740 -0.1115
-0.1842 -0.0866 3.9492
2.9154 4.7431 0.2400
```

Calculated values
space group = P4/mmm (123)
DOS(E_F) = 0.768 states/eV/atom
formation energy without anion corrections = -1.24 eV per atom
crystal system = tetragonal


SrMn2Si | PBEsol | relaxed Values from VASP.

```
&SYSTEM
  ibrav = 0, nat = 4, ntyp = 3
/
ATOMIC_SPECIES
Mn 54.94 Mn.upf
Si 28.09 Si.upf
Sr 87.62 Sr.upf
ATOMIC_POSITIONS angstrom
Mn 0.8583 -1.2309 2.9182
Mn 2.6258 -4.9937 5.2703
Si 1.7420 -3.1123 4.0943
Sr 0.0000 0.0000 0.0000
CELL_PARAMETERS angstrom
-0.5479 -3.7794 1.4033
3.2171 -2.3175 0.9126
0.8149 -0.1276 5.8727
```

Calculated values
space group = R-3m (166)
DOS(E_F) = 0.771 states/eV/atom
formation energy without anion corrections = 0.09 eV per atom
crystal system = trigonal


CdAgIr | PBEsol | relaxed Values from VASP.

```
&SYSTEM
  ibrav = 0, nat = 3, ntyp = 3
/
ATOMIC_SPECIES
Ir 192.22 Ir.upf
Ag 107.87 Ag.upf
Cd 112.41 Cd.upf
ATOMIC_POSITIONS angstrom
Ir 0.9347 2.2804 1.3166
Ag 2.6642 0.0000 0.0000
Cd 1.8790 0.0000 2.6332
CELL_PARAMETERS angstrom
2.7390 0.0000 0.0000
0.0000 4.5608 0.0000
0.0000 -2.2804 3.9498
```

Calculated values
E_form = 0.34 eV/atom
space group = P3m1 (156)
DOS(E_F) = 0.846 states/eV/atom
crystal system = trigonal


LiLuW2O8 | PBEsol | relaxed Values from VASP.

```
&SYSTEM
  ibrav = 0, nat = 24, ntyp = 4
/
ATOMIC_SPECIES
Li 6.94 Li.upf
Lu 174.97 Lu.upf
W 183.84 W.upf
O 16.00 O.upf
ATOMIC_POSITIONS angstrom
Li -2.3699 -1.3402 5.3686
Li -1.1856 4.6089 5.8762
Lu -0.7607 0.5965 3.1240
Lu -2.7948 2.6722 8.1207
W 0.3441 -2.8395 3.9987
W -3.8996 6.1082 7.2460
W -0.0203 0.8552 6.7540
W -3.5353 2.4136 4.4907
O -3.5884 -1.4882 3.1807
O 0.0329 4.7570 8.0641
O -2.4220 0.9956 4.4549
O -1.1335 2.2731 6.7899
O -0.8286 -1.4816 3.9592
O -2.7269 4.7504 7.2855
O 0.4255 0.7491 5.0189
O -3.9810 2.5197 6.2259
O -2.8545 -3.3064 5.6168
O -0.7011 6.5751 5.6279
O -1.1786 -0.5909 6.8457
O -2.3769 3.8596 4.3991
O -1.9223 -0.1720 1.4750
O -1.6332 3.4407 9.7697
O -0.3778 2.7058 2.8722
O -3.1777 0.5630 8.3726
CELL_PARAMETERS angstrom
-4.6704 -1.3733 0.9446
1.8406 -3.1693 4.4932
-0.7257 7.8113 5.8069
```

Calculated values
space group = P2/c (13)
DOS(E_F) = 0.000 states/eV/atom
formation energy without anion corrections = -2.55 eV per atom
crystal system = monoclinic


CuWCl3 | PBEsol | relaxed Values from VASP.

```
&SYSTEM
  ibrav = 0, nat = 5, ntyp = 3
/
ATOMIC_SPECIES
Cu 63.55 Cu.upf
W 183.84 W.upf
Cl 35.45 Cl.upf
ATOMIC_POSITIONS angstrom
Cu 0.0000 0.0000 0.0000
W 2.4782 -1.3489 2.8241
Cl 0.6997 -2.1846 0.2235
Cl 2.1622 0.7264 0.3306
Cl -0.3838 0.1093 2.2700
CELL_PARAMETERS angstrom
-0.7675 0.2186 4.5400
1.3995 -4.3692 0.4470
4.3244 1.4528 0.6612
```

Calculated values
space group = Pm-3m (221)
DOS(E_F) = 1.045 states/eV/atom
formation energy without anion corrections = 0.84 eV per atom
crystal system = cubic


Number 1: raw total energy -2.882 eV per atom. Number 2: raw total energy -6.628 eV per atom. Number 3: raw total energy -6.684 eV per atom. Number 4: raw total energy -4.438 eV per atom. Number 5: raw total energy -8.925 eV per atom. Number 6: raw total energy -3.992 eV per atom.